Record 1
## Tb2AsPb (PBE)

Data for a relaxed Tb2AsPb crystal.

Results
- calculated formation energy (eV/atom) = -1.00
- energy (eV for the cell shown) = -64.807
- SG = R-3m, No. 166

abc: 4.0622 4.0622 23.4956
angles: 90.00 90.00 120.00
With the nearest neighbours (Å) after each atom.
Positions (direct):
1 Tb 0.0000 0.0000 0.2373  3 As 2.87
2 Tb 0.0000 0.0000 0.7627  3 As 2.87
3 Tb 0.3333 0.6667 0.4294  3 As 2.87
4 Tb 0.3333 0.6667 0.9039  3 As 2.87
5 Tb 0.6667 0.3333 0.0961  3 As 2.87
6 Tb 0.6667 0.3333 0.5706  3 As 2.87
7 As 0.0000 0.0000 0.5000  6 Tb 2.87
8 As 0.3333 0.6667 0.1667  6 Tb 2.87
9 As 0.6667 0.3333 0.8333  6 Tb 2.87
10 Pb 0.0000 0.0000 0.0000  6 Tb 3.25
11 Pb 0.3333 0.6667 0.6667  6 Tb 3.25
12 Pb 0.6667 0.3333 0.3333  6 Tb 3.25

Record 2
## Ti2Tl2In (PBE)

Data for a relaxed Ti2Tl2In crystal.

Results
- offset from the most stable computed form (meV per atom) = 0.0
- calculated formation energy (eV/atom) = 0.17
- energy (eV for the cell shown) = -44.860
- SG = P4/mbm, No. 127

abc: 7.3400 7.3400 4.1266
angles: 90.00 90.00 90.00
With the nearest neighbours (Å) after each atom.
Positions (direct):
1 Ti 0.1269 0.3731 0.0000  1 Ti 2.63, 2 In 2.89, 2 Tl 2.93
2 Ti 0.3731 0.8731 0.0000  1 Ti 2.63, 2 In 2.89, 2 Tl 2.93
3 Ti 0.6269 0.1269 0.0000  1 Ti 2.63, 2 In 2.89, 2 Tl 2.93
4 Ti 0.8731 0.6269 0.0000  1 Ti 2.63, 2 In 2.89, 2 Tl 2.93
5 Tl 0.1724 0.6724 0.5000  6 Ti 2.93-3.03
6 Tl 0.3276 0.1724 0.5000  6 Ti 2.93-3.03
7 Tl 0.6724 0.8276 0.5000  6 Ti 2.93-3.03
8 Tl 0.8276 0.3276 0.5000  6 Ti 2.93-3.03
9 In 0.0000 0.0000 0.0000  4 Ti 2.89
10 In 0.5000 0.5000 0.0000  4 Ti 2.89

Record 3
## Dy6Co2Rh (PBE)

Data for a relaxed Dy6Co2Rh crystal.

Results
- calculated formation energy (eV/atom) = -0.33
- energy (eV for the cell shown) = -104.251
- SG = Immm, No. 71

abc: 8.1583 8.1583 8.1583
angles: 110.61 109.38 108.44
With the nearest neighbours (Å) after each atom.
Positions (direct):
1 Dy 0.0109 0.8261 0.1848  3 Co 2.67-2.86
2 Dy 0.2538 0.5675 0.3137  1 Co 2.78, 2 Rh 2.92-2.98
3 Dy 0.2538 0.9401 0.6863  1 Co 2.78, 2 Rh 2.92-2.98
4 Dy 0.2658 0.3224 0.5883  3 Co 2.90-2.96, 1 Rh 3.00
5 Dy 0.2658 0.6776 0.9434  3 Co 2.90-2.96, 1 Rh 3.00
6 Dy 0.3587 0.1739 0.1848  3 Co 2.67-2.86
7 Dy 0.6413 0.8261 0.8152  3 Co 2.67-2.86
8 Dy 0.7342 0.3224 0.0566  3 Co 2.90-2.96, 1 Rh 3.00
9 Dy 0.7342 0.6776 0.4117  3 Co 2.90-2.96, 1 Rh 3.00
10 Dy 0.7462 0.0599 0.3137  1 Co 2.78, 2 Rh 2.92-2.98
11 Dy 0.7462 0.4325 0.6863  1 Co 2.78, 2 Rh 2.92-2.98
12 Dy 0.9891 0.1739 0.8152  3 Co 2.67-2.86
13 Co 0.0000 0.1657 0.1657  8 Dy 2.78-2.90, 1 Co 3.08, 1 Rh 3.10
14 Co 0.0000 0.8343 0.8343  8 Dy 2.78-2.90, 1 Co 3.08, 1 Rh 3.10
15 Co 0.3855 0.3855 0.0000  1 Co 2.18
16 Co 0.6145 0.6145 0.0000  1 Co 2.18
17 Rh 0.0000 0.5000 0.5000  8 Dy 2.98-3.00, 2 Co 3.10
18 Rh 0.5000 0.0000 0.5000  4 Dy 2.92

Record 4
## TePdI2O (PBE)

Data for a relaxed TePdI2O crystal.

Results
- offset from the most stable computed form (meV per atom) = 357.4
- uncorrected formation energy (eV/atom) = 0.551
- energy (eV for the cell shown) = -13.636
- SG = P4/mmm, No. 123

abc: 5.2721 5.2721 4.4266
angles: 90.00 90.00 90.00
With the nearest neighbours (Å) after each atom.
Positions (direct):
1 Te 0.0000 0.0000 0.0000  2 O 2.21
2 Pd 0.5000 0.5000 0.0000  8 I 3.44, 4 Te 3.73
3 I 0.0000 0.5000 0.5000  2 O 2.64
4 I 0.5000 0.0000 0.5000  2 O 2.64
5 O 0.0000 0.0000 0.5000  2 Te 2.21

Record 5
## Tl2In7Hg12 (PBE)

Data for a relaxed Tl2In7Hg12 crystal.

Results
- calculated formation energy (eV/atom) = 0.01
- energy (eV for the cell shown) = -27.209
- SG = P-1, No. 2

abc: 4.9170 10.1940 11.8928
angles: 104.54 90.11 91.77
With the nearest neighbours (Å) after each atom.
Positions (direct):
1 Tl 0.9997 0.1707 0.2557  6 Hg 3.25-3.43, 5 In 3.38-3.51
2 Tl 0.0003 0.8293 0.7443  6 Hg 3.25-3.43, 5 In 3.38-3.51
3 In 0.0041 0.1065 0.6303  8 Hg 3.10-3.43, 2 In 3.31-3.47, 1 Tl 3.43
4 In 0.4929 0.9341 0.1739  6 Hg 3.08-3.31, 2 Tl 3.38-3.44
5 In 0.4984 0.5889 0.6428  9 Hg 3.10-3.47, 1 Tl 3.42, 1 In 3.43
6 In 0.5000 0.5000 0.0000  12 Hg 3.29-3.56
7 In 0.5016 0.4111 0.3572  9 Hg 3.10-3.47, 1 Tl 3.42, 1 In 3.43
8 In 0.5071 0.0659 0.8261  6 Hg 3.08-3.31, 2 Tl 3.38-3.44
9 In 0.9959 0.8935 0.3697  8 Hg 3.10-3.43, 2 In 3.31-3.47, 1 Tl 3.43
10 Hg 0.0029 0.3618 0.5329  5 In 3.10-3.47, 6 Hg 3.11-3.45, 1 Tl 3.38
11 Hg 0.0071 0.5327 0.8221  6 Hg 3.24-3.49, 4 In 3.29-3.44, 1 Tl 3.38
12 Hg 0.0101 0.2548 0.9201  4 In 3.11-3.40, 4 Hg 3.23-3.32
13 Hg 0.4903 0.6797 0.2796  5 In 3.10-3.37, 5 Hg 3.24-3.45
14 Hg 0.4982 0.2090 0.0867  4 In 3.08-3.38, 2 Hg 3.23-3.30, 2 Tl 3.25-3.27
15 Hg 0.4994 0.8717 0.5569  4 Hg 3.23-3.45, 6 In 3.29-3.43, 2 Tl 3.41-3.43
16 Hg 0.5006 0.1283 0.4431  4 Hg 3.23-3.45, 6 In 3.29-3.43, 2 Tl 3.41-3.43
17 Hg 0.5018 0.7910 0.9133  4 In 3.08-3.38, 2 Hg 3.23-3.30, 2 Tl 3.25-3.27
18 Hg 0.5097 0.3203 0.7204  5 In 3.10-3.37, 5 Hg 3.24-3.45
19 Hg 0.9899 0.7452 0.0799  4 In 3.11-3.40, 4 Hg 3.23-3.32
20 Hg 0.9929 0.4673 0.1779  6 Hg 3.24-3.49, 4 In 3.29-3.44, 1 Tl 3.38
21 Hg 0.9971 0.6382 0.4671  5 In 3.10-3.47, 6 Hg 3.11-3.45, 1 Tl 3.38

Record 6
## CaPm2Ho3Te6 (PBE)

Data for a relaxed CaPm2Ho3Te6 crystal.

Results
- uncorrected formation energy (eV/atom) = -1.371
- energy (eV for the cell shown) = -60.535
- SG = C2/m, No. 12

abc: 9.8777 9.8777 8.8460
angles: 103.32 103.32 25.67
With the nearest neighbours (Å) after each atom.
Positions (direct):
1 Ca 0.0000 0.0000 0.0000  6 Te 3.12-3.14
2 Pm 0.3269 0.3269 0.6555  6 Te 3.11-3.26
3 Pm 0.6731 0.6731 0.3445  6 Te 3.11-3.26
4 Ho 0.0000 0.0000 0.5000  6 Te 3.02-3.10
5 Ho 0.3306 0.3306 0.1723  6 Te 3.03-3.15
6 Ho 0.6694 0.6694 0.8277  6 Te 3.03-3.15
7 Te 0.1611 0.1611 0.5885  3 Ho 3.02-3.03, 3 Pm 3.11-3.12
8 Te 0.1667 0.1667 0.0755  3 Ho 3.07-3.11, 1 Ca 3.12, 2 Pm 3.22
9 Te 0.4990 0.4990 0.2526  3 Ho 3.10-3.15, 2 Ca 3.14, 1 Pm 3.26
10 Te 0.5010 0.5010 0.7474  3 Ho 3.10-3.15, 2 Ca 3.14, 1 Pm 3.26
11 Te 0.8333 0.8333 0.9245  3 Ho 3.07-3.11, 1 Ca 3.12, 2 Pm 3.22
12 Te 0.8389 0.8389 0.4115  3 Ho 3.02-3.03, 3 Pm 3.11-3.12

Record 7
## SrTi2Ir2 (PBE)

Data for a relaxed SrTi2Ir2 crystal.

Results
- offset from the most stable computed form (meV per atom) = 372.9
- calculated formation energy (eV/atom) = -0.28
- energy (eV for the cell shown) = -73.150
- SG = I4/mmm, No. 139

abc: 4.3048 4.3048 11.6656
angles: 90.00 90.00 90.00
With the nearest neighbours (Å) after each atom.
Positions (direct):
1 Sr 0.0000 0.0000 0.0000  8 Ti 3.45, 8 Ir 3.62
2 Sr 0.5000 0.5000 0.5000  8 Ti 3.45, 8 Ir 3.62
3 Ti 0.0000 0.0000 0.3612  4 Ir 2.51
4 Ti 0.0000 0.0000 0.6388  4 Ir 2.51
5 Ti 0.5000 0.5000 0.1388  4 Ir 2.51
6 Ti 0.5000 0.5000 0.8612  4 Ir 2.51
7 Ir 0.0000 0.5000 0.2500  4 Ti 2.51
8 Ir 0.0000 0.5000 0.7500  4 Ti 2.51
9 Ir 0.5000 0.0000 0.2500  4 Ti 2.51
10 Ir 0.5000 0.0000 0.7500  4 Ti 2.51

Record 8
## Ac2PrAg2Pb2 (PBE)

Data for a relaxed Ac2PrAg2Pb2 crystal.

Results
- calculated formation energy (eV/atom) = -0.27
- energy (eV for the cell shown) = -28.032
- SG = R-3m, No. 166

abc: 10.8488 10.8488 10.8488
angles: 26.62 26.62 26.62
With the nearest neighbours (Å) after each atom.
Positions (direct):
1 Ac 0.1224 0.1224 0.1224  3 Pb 3.43, 3 Ag 3.66, 1 Pr 3.84
2 Ac 0.8776 0.8776 0.8776  3 Pb 3.43, 3 Ag 3.66, 1 Pr 3.84
3 Pr 0.0000 0.0000 0.0000  6 Ag 3.29, 6 Pb 3.50
4 Ag 0.3838 0.3838 0.3838  3 Pb 2.91
5 Ag 0.6162 0.6162 0.6162  3 Pb 2.91
6 Pb 0.2703 0.2703 0.2703  3 Ag 2.91
7 Pb 0.7297 0.7297 0.7297  3 Ag 2.91

Record 9
## Li2Ta3TiN6 (PBE)

Data for a relaxed Li2Ta3TiN6 crystal.

Results
- uncorrected formation energy (eV/atom) = -1.171
- energy (eV for the cell shown) = -111.286
- SG = C2/m, No. 12

abc: 6.8225 6.8225 6.1544
angles: 102.87 102.87 25.98
With the nearest neighbours (Å) after each atom.
Positions (direct):
1 Li 0.1715 0.1715 0.3456  6 N 2.16-2.24
2 Li 0.8285 0.8285 0.6544  6 N 2.16-2.24
3 Ta 0.1718 0.1718 0.8336  6 N 2.09-2.22
4 Ta 0.5000 0.5000 0.5000  6 N 2.10-2.17
5 Ta 0.8282 0.8282 0.1664  6 N 2.09-2.22
6 Ti 0.5000 0.5000 0.0000  6 N 2.13-2.17
7 N 0.0007 0.0007 0.7502  3 Ta 2.17-2.22, 2 Ti 2.17, 1 Li 2.23
8 N 0.3356 0.3356 0.9219  3 Ta 2.12-2.17, 1 Ti 2.13, 2 Li 2.24
9 N 0.3378 0.3378 0.4021  3 Ta 2.09-2.10, 3 Li 2.16-2.21
10 N 0.6622 0.6622 0.5979  3 Ta 2.09-2.10, 3 Li 2.16-2.21
11 N 0.6644 0.6644 0.0781  3 Ta 2.12-2.17, 1 Ti 2.13, 2 Li 2.24
12 N 0.9993 0.9993 0.2498  3 Ta 2.17-2.22, 2 Ti 2.17, 1 Li 2.23

Record 10
## Ho2TeN (PBE)

Data for a relaxed Ho2TeN crystal.

Results
- offset from the most stable computed form (meV per atom) = 16.1
- uncorrected formation energy (eV/atom) = -1.363
- energy (eV for the cell shown) = -104.299
- SG = P2_1/c, No. 14

abc: 8.0423 6.8844 6.6557
angles: 90.00 92.24 90.00
With the nearest neighbours (Å) after each atom.
Positions (direct):
1 Ho 0.0846 0.1664 0.3618  3 N 2.30-2.53
2 Ho 0.0846 0.3336 0.8618  3 N 2.30-2.53
3 Ho 0.2825 0.6756 0.5501  2 N 2.22-2.47
4 Ho 0.2825 0.8244 0.0501  2 N 2.22-2.47
5 Ho 0.7175 0.1756 0.9499  2 N 2.22-2.47
6 Ho 0.7175 0.3244 0.4499  2 N 2.22-2.47
7 Ho 0.9154 0.6664 0.1382  3 N 2.30-2.53
8 Ho 0.9154 0.8336 0.6382  3 N 2.30-2.53
9 Te 0.3738 0.1010 0.7066  5 Ho 3.04-3.23
10 Te 0.3738 0.3990 0.2066  5 Ho 3.04-3.23
11 Te 0.6262 0.6010 0.7934  5 Ho 3.04-3.23
12 Te 0.6262 0.8990 0.2934  5 Ho 3.04-3.23
13 N 0.1054 0.6664 0.8449  4 Ho 2.22-2.47
14 N 0.1054 0.8336 0.3449  4 Ho 2.22-2.47
15 N 0.8946 0.1664 0.6551  4 Ho 2.22-2.47
16 N 0.8946 0.3336 0.1551  4 Ho 2.22-2.47

Record 11
## Fe2BiC (PBE)

Data for a relaxed Fe2BiC crystal.

Results
- offset from the most stable computed form (meV per atom) = 983.6
- calculated formation energy (eV/atom) = 1.64
- energy (eV for the cell shown) = -93.852
- SG = Fm-3m, No. 225

abc: 5.9414 5.9414 5.9414
angles: 90.00 90.00 90.00
With the nearest neighbours (Å) after each atom.
Positions (direct):
1 Fe 0.2500 0.2500 0.2500  4 Bi 2.57, 4 C 2.57
2 Fe 0.2500 0.2500 0.7500  4 Bi 2.57, 4 C 2.57
3 Fe 0.2500 0.7500 0.2500  4 Bi 2.57, 4 C 2.57
4 Fe 0.2500 0.7500 0.7500  4 Bi 2.57, 4 C 2.57
5 Fe 0.7500 0.2500 0.2500  4 Bi 2.57, 4 C 2.57
6 Fe 0.7500 0.2500 0.7500  4 Bi 2.57, 4 C 2.57
7 Fe 0.7500 0.7500 0.2500  4 Bi 2.57, 4 C 2.57
8 Fe 0.7500 0.7500 0.7500  4 Bi 2.57, 4 C 2.57
9 Bi 0.0000 0.0000 0.0000  8 Fe 2.57
10 Bi 0.0000 0.5000 0.5000  8 Fe 2.57
11 Bi 0.5000 0.0000 0.5000  8 Fe 2.57
12 Bi 0.5000 0.5000 0.0000  8 Fe 2.57
13 C 0.0000 0.0000 0.5000  8 Fe 2.57
14 C 0.0000 0.5000 0.0000  8 Fe 2.57
15 C 0.5000 0.0000 0.0000  8 Fe 2.57
16 C 0.5000 0.5000 0.5000  8 Fe 2.57

Record 12
## AgSn4Se8 (PBE)

Data for a relaxed AgSn4Se8 crystal.

Results
- uncorrected formation energy (eV/atom) = -0.335
- energy (eV for the cell shown) = -51.088
- SG = R-3m, No. 166

abc: 8.1356 8.1356 8.1356
angles: 57.60 57.60 57.60
With the nearest neighbours (Å) after each atom.
Positions (direct):
1 Ag 0.0000 0.0000 0.0000  6 Se 2.82
2 Sn 0.0000 0.0000 0.5000  6 Se 2.76
3 Sn 0.0000 0.5000 0.0000  6 Se 2.76
4 Sn 0.5000 0.0000 0.0000  6 Se 2.76
5 Sn 0.5000 0.5000 0.5000  6 Se 2.83
6 Se 0.2381 0.7506 0.7506  3 Sn 2.76-2.83, 1 Ag 2.82
7 Se 0.2447 0.2447 0.2447  3 Sn 2.76
8 Se 0.2494 0.2494 0.7619  3 Sn 2.76-2.83, 1 Ag 2.82
9 Se 0.2494 0.7619 0.2494  3 Sn 2.76-2.83, 1 Ag 2.82
10 Se 0.7506 0.2381 0.7506  3 Sn 2.76-2.83, 1 Ag 2.82
11 Se 0.7506 0.7506 0.2381  3 Sn 2.76-2.83, 1 Ag 2.82
12 Se 0.7553 0.7553 0.7553  3 Sn 2.76
13 Se 0.7619 0.2494 0.2494  3 Sn 2.76-2.83, 1 Ag 2.82